(1)
Compound: PmDy3Bi2
Source: the Alexandria database
Functional: PBE-GGA
Structure: optimized geometry

Magnetization ... 0.0 μB per cell
DFT total energy ... -4.891 eV/atom
Polymorph energy (0 for the lowest one) ... 0.085 eV/atom
DOS(E_F) ... 1.102 states/eV per atom
Crystal system ... monoclinic
SG ... C2/m
ρ ... 9313 kg/m³
ΔH_f (0 K) ... -49 kJ per mole of atoms

a b c (Å): 4.372 10.815 9.972
angles (deg): 124.93 90.00 101.66
Atoms (fractional coordinates):
Pm (0.889, 0.778, 0.894)
Pm (0.111, 0.222, 0.106)
Dy (0.312, 0.624, 0.514)
Dy (0.943, 0.886, 0.556)
Dy (0.640, 0.280, 0.803)
Dy (0.360, 0.720, 0.197)
Dy (0.057, 0.114, 0.444)
Dy (0.688, 0.376, 0.486)
Bi (0.490, 0.979, 0.822)
Bi (0.510, 0.021, 0.178)
Bi (0.752, 0.503, 0.216)
Bi (0.248, 0.497, 0.784)

---

(2)
Compound: Ac15TbSm4
Source: the Alexandria database
Functional: PBE-GGA
Structure: optimized geometry

Magnetization ... 0.0 μB per cell
DFT total energy ... -4.227 eV/atom
DOS(E_F) ... 1.535 states/eV per atom
Crystal system ... tetragonal
SG ... P4/mmm
ρ ... 8254 kg/m³
ΔH_f (0 K) ... 3 kJ per mole of atoms

a b c (Å): 5.524 5.524 27.463
angles (deg): 90.00 90.00 90.00
Atoms (fractional coordinates):
Ac (0.500, 0.500, 0.000)
Ac (0.500, 0.500, 0.200)
Ac (0.500, 0.500, 0.400)
Ac (0.500, 0.500, 0.600)
Ac (0.500, 0.500, 0.800)
Ac (0.500, 0.000, 0.099)
Ac (0.500, 0.000, 0.300)
Ac (0.500, 0.000, 0.500)
Ac (0.500, 0.000, 0.700)
Ac (0.500, 0.000, 0.901)
Ac (0.000, 0.500, 0.099)
Ac (0.000, 0.500, 0.300)
Ac (0.000, 0.500, 0.500)
Ac (0.000, 0.500, 0.700)
Ac (0.000, 0.500, 0.901)
Tb (0.000, 0.000, 0.000)
Sm (0.000, 0.000, 0.200)
Sm (0.000, 0.000, 0.400)
Sm (0.000, 0.000, 0.600)
Sm (0.000, 0.000, 0.800)